Computed, not measured: a relaxed structure of LaErWO6 at the PBE+U level of DFT.

Properties
Energy: -8.0999 eV per atom
Crystal system: trigonal

The structure in POSCAR format:
```
LaErWO6
1.0
5.553 0.000 0.000
2.777 4.809 0.000
0.000 0.000 5.069
La Er W O
1 1 1 6
Cartesian
5.553 0.000 5.069
5.553 3.206 2.535
2.777 1.603 2.534
1.151 1.643 1.436
1.998 0.175 3.633
4.402 1.643 3.633
1.929 2.991 3.633
3.624 2.991 1.436
3.555 0.175 1.436
```